Compound: YAg2Pb
Source: Alexandria
Functional: meta-GGA SCAN
Structure: single point on PBEsol structure

a = 4.448 Å, b = 4.448 Å, c = 4.417 Å
α = 90.00°, β = 90.00°, γ = 90.00°
Positions (direct):
Y 0.000 0.000 0.000
Ag 0.000 0.500 0.500
Ag 0.500 0.000 0.500
Pb 0.500 0.500 0.000

Summary:
**Energy relative to the elements**: -0.300 eV per atom
**Density of states at the Fermi level**: 2.0 states/eV per cell
**Total magnetic moment**: 0.0000 μB per atom
**Space-group type**: No. 123



Compound: ZnAg2Pb
Source: Alexandria
Functional: meta-GGA SCAN
Structure: single point on PBEsol structure

a = 4.860 Å, b = 4.860 Å, c = 5.544 Å
α = 100.84°, β = 100.84°, γ = 37.50°
Positions (direct):
Zn 0.000 0.000 0.000
Ag 0.264 0.264 0.838
Ag 0.518 0.518 0.603
Pb 0.758 0.758 0.323

Summary:
**Energy relative to the elements**: 0.152 eV per atom
**Density of states at the Fermi level**: 1.3 states/eV per cell
**Total magnetic moment**: 0.0000 μB per atom
**Space-group type**: No. 8
**E above lowest polymorph**: 0.063 eV per atom



Compound: ZnAgPb
Source: Alexandria
Functional: meta-GGA SCAN
Structure: single point on PBEsol structure

a = 3.269 Å, b = 3.269 Å, c = 6.646 Å
α = 90.00°, β = 90.00°, γ = 120.00°
Positions (direct):
Zn 0.000 0.000 0.000
Ag 0.333 0.667 0.723
Pb 0.667 0.333 0.359

Summary:
**Energy relative to the elements**: 0.190 eV per atom
**Density of states at the Fermi level**: 0.9 states/eV per cell
**Total magnetic moment**: 0.0000 μB per atom
**Space-group type**: No. 156



Compound: Zn2AgPb
Source: Alexandria
Functional: meta-GGA SCAN
Structure: single point on PBEsol structure

a = 5.015 Å, b = 5.015 Å, c = 3.193 Å
α = 90.00°, β = 90.00°, γ = 109.83°
Positions (direct):
Zn 0.000 0.500 0.000
Zn 0.500 0.000 0.000
Ag 0.000 0.000 0.500
Pb 0.500 0.500 0.500

Summary:
**Energy relative to the elements**: 0.253 eV per atom
**Density of states at the Fermi level**: 1.2 states/eV per cell
**Total magnetic moment**: 0.0000 μB per atom
**Space-group type**: No. 65



Compound: Zn2AgPb
Source: Alexandria
Functional: meta-GGA SCAN
Structure: single point on PBEsol structure

a = 3.188 Å, b = 3.389 Å, c = 6.986 Å
α = 90.00°, β = 90.00°, γ = 90.00°
Positions (direct):
Zn 0.000 0.000 0.000
Zn 0.500 0.500 0.187
Ag 0.000 0.000 0.390
Pb 0.500 0.500 0.699

Summary:
**Energy relative to the elements**: 0.159 eV per atom
**Density of states at the Fermi level**: 1.2 states/eV per cell
**Total magnetic moment**: 0.0000 μB per atom
**Space-group type**: No. 25



Compound: ZnAg4Pb
Source: Alexandria
Functional: meta-GGA SCAN
Structure: single point on PBEsol structure

a = 5.445 Å, b = 5.445 Å, c = 5.445 Å
α = 60.00°, β = 60.00°, γ = 60.00°
Positions (direct):
Zn 0.000 0.000 0.000
Ag 0.375 0.375 0.375
Ag 0.375 0.375 0.876
Ag 0.375 0.876 0.375
Ag 0.876 0.375 0.375
Pb 0.750 0.750 0.750

Summary:
**Energy relative to the elements**: 0.192 eV per atom
**Density of states at the Fermi level**: 2.1 states/eV per cell
**Total magnetic moment**: 0.0000 μB per atom
**Space-group type**: No. 216